(1)
DFT (GGA-PBE) results for Tb2CeBi after structural relaxation.

Results
DFT total energy, eV per atom: -4.7248
SG: R-3m, No. 166
N(E_F), states/eV per cell: 17.70
Distance to the lowest polymorph of the same formula, eV per formula unit: 1.570
Energy of formation from the pure elements, eV per atom: 0.044
Magnetic moment, Bohr magnetons per cell: 2.2

Cell: 3.5158 3.5158 36.1185 Å, 90.00 90.00 120.00°
Last column: nearest neighbours and their distance in Å.
Element x y z (fractional)
Tb (0.0000, 0.0000, 0.0882)  1 Bi 3.18, 3 Ce 3.49, 6 Tb 3.52
Tb (0.0000, 0.0000, 0.9118)  1 Bi 3.18, 3 Ce 3.49, 6 Tb 3.52
Tb (0.3333, 0.6667, 0.5785)  1 Bi 3.18, 3 Ce 3.49, 6 Tb 3.52
Tb (0.3333, 0.6667, 0.7548)  1 Bi 3.18, 3 Ce 3.49, 6 Tb 3.52
Tb (0.6667, 0.3333, 0.2452)  1 Bi 3.18, 3 Ce 3.49, 6 Tb 3.52
Tb (0.6667, 0.3333, 0.4215)  1 Bi 3.18, 3 Ce 3.49, 6 Tb 3.52
Ce (0.0000, 0.0000, 0.5000)  6 Tb 3.49, 6 Ce 3.52
Ce (0.3333, 0.6667, 0.1667)  6 Tb 3.49, 6 Ce 3.52
Ce (0.6667, 0.3333, 0.8333)  6 Tb 3.49, 6 Ce 3.52
Bi (0.0000, 0.0000, 0.0000)  2 Tb 3.18, 6 Bi 3.52
Bi (0.3333, 0.6667, 0.6667)  2 Tb 3.18, 6 Bi 3.52
Bi (0.6667, 0.3333, 0.3333)  2 Tb 3.18, 6 Bi 3.52


(2)
DFT (GGA-PBE) results for ScCdAg6 after structural relaxation.

Results
DFT total energy, eV per atom: -3.1598
SG: C2/m, No. 12
N(E_F), states/eV per cell: 6.00
Distance to the lowest polymorph of the same formula, eV per formula unit: 0.000
Energy of formation from the pure elements, eV per atom: -0.116
Magnetic moment, Bohr magnetons per cell: 0.0

Cell: 9.4913 4.0960 8.5518 Å, 90.00 116.72 90.00°
Last column: nearest neighbours and their distance in Å.
Element x y z (fractional)
Sc (0.0000, 0.0000, 0.0000)  12 Ag 2.94-3.01
Sc (0.5000, 0.5000, 0.0000)  12 Ag 2.94-3.01
Cd (0.0000, 0.0000, 0.5000)  12 Ag 2.96-3.03
Cd (0.5000, 0.5000, 0.5000)  12 Ag 2.96-3.03
Ag (0.9995, 0.5000, 0.2490)  8 Ag 2.94-3.03, 2 Sc 2.96, 2 Cd 2.97
Ag (0.0005, 0.5000, 0.7510)  8 Ag 2.94-3.03, 2 Sc 2.96, 2 Cd 2.97
Ag (0.2481, 0.5000, 0.1229)  3 Sc 2.94-3.01, 8 Ag 2.95-3.00, 1 Cd 3.03
Ag (0.2487, 0.0000, 0.3737)  8 Ag 2.94-3.03, 3 Cd 2.96-3.01, 1 Sc 3.00
Ag (0.2513, 0.5000, 0.6263)  8 Ag 2.94-3.03, 3 Cd 2.96-3.01, 1 Sc 3.00
Ag (0.2519, 0.0000, 0.8771)  3 Sc 2.94-3.01, 8 Ag 2.95-3.00, 1 Cd 3.03
Ag (0.4995, 0.0000, 0.2490)  8 Ag 2.94-3.03, 2 Sc 2.96, 2 Cd 2.97
Ag (0.5005, 0.0000, 0.7510)  8 Ag 2.94-3.03, 2 Sc 2.96, 2 Cd 2.97
Ag (0.7481, 0.0000, 0.1229)  3 Sc 2.94-3.01, 8 Ag 2.95-3.00, 1 Cd 3.03
Ag (0.7487, 0.5000, 0.3737)  8 Ag 2.94-3.03, 3 Cd 2.96-3.01, 1 Sc 3.00
Ag (0.7513, 0.0000, 0.6263)  8 Ag 2.94-3.03, 3 Cd 2.96-3.01, 1 Sc 3.00
Ag (0.7519, 0.5000, 0.8771)  3 Sc 2.94-3.01, 8 Ag 2.95-3.00, 1 Cd 3.03


Please write out number 1 again, unchanged.
DFT (GGA-PBE) results for Tb2CeBi after structural relaxation.

Results
DFT total energy, eV per atom: -4.7248
SG: R-3m, No. 166
N(E_F), states/eV per cell: 17.70
Distance to the lowest polymorph of the same formula, eV per formula unit: 1.570
Energy of formation from the pure elements, eV per atom: 0.044
Magnetic moment, Bohr magnetons per cell: 2.2

Cell: 3.5158 3.5158 36.1185 Å, 90.00 90.00 120.00°
Last column: nearest neighbours and their distance in Å.
Element x y z (fractional)
Tb (0.0000, 0.0000, 0.0882)  1 Bi 3.18, 3 Ce 3.49, 6 Tb 3.52
Tb (0.0000, 0.0000, 0.9118)  1 Bi 3.18, 3 Ce 3.49, 6 Tb 3.52
Tb (0.3333, 0.6667, 0.5785)  1 Bi 3.18, 3 Ce 3.49, 6 Tb 3.52
Tb (0.3333, 0.6667, 0.7548)  1 Bi 3.18, 3 Ce 3.49, 6 Tb 3.52
Tb (0.6667, 0.3333, 0.2452)  1 Bi 3.18, 3 Ce 3.49, 6 Tb 3.52
Tb (0.6667, 0.3333, 0.4215)  1 Bi 3.18, 3 Ce 3.49, 6 Tb 3.52
Ce (0.0000, 0.0000, 0.5000)  6 Tb 3.49, 6 Ce 3.52
Ce (0.3333, 0.6667, 0.1667)  6 Tb 3.49, 6 Ce 3.52
Ce (0.6667, 0.3333, 0.8333)  6 Tb 3.49, 6 Ce 3.52
Bi (0.0000, 0.0000, 0.0000)  2 Tb 3.18, 6 Bi 3.52
Bi (0.3333, 0.6667, 0.6667)  2 Tb 3.18, 6 Bi 3.52
Bi (0.6667, 0.3333, 0.3333)  2 Tb 3.18, 6 Bi 3.52


Q: Look up the distance to the lowest polymorph of the same formula of the first one.
A: 1.570 eV per formula unit


Q: The highest distance to the lowest polymorph of the same formula belongs to which entry?
A: Tb2CeBi


Q: Among the records above, which one has the highest energy of formation from the pure elements?
A: Tb2CeBi